[1]
{
  "formula": "HoPaHg2O8",
  "functional": "PBE",
  "state": "relaxed",
  "lattice": [[6.2632, 0.3713, 0.0000], [-2.4451, 5.7782, 0.0000], [-1.9091, -3.0748, 5.1251]],
  "species": ["Ho", "Pa", "Hg", "Hg", "O", "O", "O", "O", "O", "O", "O", "O"],
  "fractional_positions": [[0.2500, 0.7500, 0.5000], [0.0000, 0.0000, 0.0000], [0.7500, 0.2500, 0.5000], [0.5000, 0.5000, 0.0000], [0.3243, 0.0104, 0.3139], [0.2587, 0.4362, 0.1774], [0.2587, 0.0813, 0.8226], [0.6964, 0.0104, 0.6861], [0.9187, 0.7413, 0.1774], [0.9896, 0.3036, 0.3139], [0.9896, 0.6757, 0.6861], [0.5638, 0.7413, 0.8226]],
  "dos_ef_per_ev_fu": 3.63,
  "formation_energy_uncorrected_mev_per_atom": -1537,
  "dft_energy_ev_per_cell": -72.78
}


[2]
{
  "formula": "Pm2HoHgO",
  "functional": "PBE",
  "state": "relaxed",
  "lattice": [[-3.4166, -1.0412, -3.1057], [-2.9661, -1.3187, 3.7051], [-1.6803, 4.6208, 0.2994]],
  "species": ["Pm", "Pm", "Ho", "Hg", "O"],
  "fractional_positions": [[0.0000, 0.0000, 0.5000], [0.0000, 0.5000, 0.0000], [0.5000, 0.0000, 0.0000], [0.5000, 0.5000, 0.5000], [0.0000, 0.0000, 0.0000]],
  "dos_ef_per_ev_fu": 2.41,
  "formation_energy_uncorrected_mev_per_atom": -1360,
  "dft_energy_ev_per_cell": -26.14
}


[3]
{
  "formula": "Ho2PuHgO8",
  "functional": "PBE",
  "state": "relaxed",
  "lattice": [[-2.6969, 3.6632, 1.9391], [-1.2631, -3.1965, 3.5812], [5.7944, 2.1641, 3.9769]],
  "species": ["Ho", "Ho", "Pu", "Hg", "O", "O", "O", "O", "O", "O", "O", "O"],
  "fractional_positions": [[0.4999, 0.4999, 0.7413], [0.5001, 0.5001, 0.2587], [0.0000, 0.0000, 0.0000], [0.0000, 0.0000, 0.5000], [0.1880, 0.8067, 0.1921], [0.7026, 0.7080, 0.9999], [0.8117, 0.1930, 0.1921], [0.8120, 0.1933, 0.8079], [0.2974, 0.2920, 0.0001], [0.1883, 0.8070, 0.8079], [0.6948, 0.6968, 0.5001], [0.3052, 0.3032, 0.4999]],
  "dos_ef_per_ev_fu": 4.72,
  "formation_energy_uncorrected_mev_per_atom": -2335,
  "dft_energy_ev_per_cell": -91.47
}


[4]
{
  "formula": "HoPuHgO6",
  "functional": "PBE",
  "state": "relaxed",
  "lattice": [[-3.7767, -1.5453, 3.1327], [-2.8321, -1.3461, -4.0783], [4.0658, -9.3826, 0.2735]],
  "species": ["Ho", "Ho", "Pu", "Pu", "Hg", "Hg", "O", "O", "O", "O", "O", "O", "O", "O", "O", "O", "O", "O"],
  "fractional_positions": [[0.5000, 0.5000, 0.1684], [0.0000, 0.0000, 0.6684], [0.5000, 0.5000, 0.8320], [0.0000, 0.0000, 0.3320], [0.5000, 0.5000, 0.4988], [0.0000, 0.0000, 0.9988], [0.1793, 0.8207, 0.4849], [0.8207, 0.1793, 0.4849], [0.3207, 0.3207, 0.9849], [0.6793, 0.6793, 0.9849], [0.1950, 0.8050, 0.1899], [0.8050, 0.1950, 0.1899], [0.3050, 0.3050, 0.6899], [0.6950, 0.6950, 0.6899], [0.7765, 0.2235, 0.8256], [0.2235, 0.7765, 0.8256], [0.7235, 0.7235, 0.3256], [0.2765, 0.2765, 0.3256]],
  "dos_ef_per_ev_fu": 0.86,
  "formation_energy_uncorrected_mev_per_atom": -2165,
  "dft_energy_ev_per_cell": -136.89
}


[5]
{
  "formula": "HoHgSO6",
  "functional": "PBE",
  "state": "relaxed",
  "lattice": [[-4.8659, 2.2404, -2.0038], [-2.2176, -0.4015, -6.4158], [-1.9838, -4.1226, 0.6478]],
  "species": ["Ho", "Hg", "S", "O", "O", "O", "O", "O", "O"],
  "fractional_positions": [[0.5648, 0.5984, 0.4845], [0.8889, 0.1311, 0.0579], [0.3487, 0.1982, 0.4444], [0.0473, 0.3650, 0.5327], [0.4775, 0.9494, 0.5934], [0.6338, 0.5101, 0.0008], [0.5236, 0.2822, 0.5563], [0.1626, 0.7734, 0.1996], [0.3526, 0.1921, 0.1303]],
  "formation_energy_uncorrected_mev_per_atom": -1558,
  "dft_energy_ev_per_cell": -52.78
}


[6]
{
  "formula": "HoSc2HgO",
  "functional": "PBE",
  "state": "relaxed",
  "lattice": [[4.6691, 0.0000, 0.0000], [0.0000, 4.4801, 0.0000], [0.0000, 0.0000, 4.4801]],
  "species": ["Ho", "Sc", "Sc", "Hg", "O"],
  "fractional_positions": [[0.5000, 0.0000, 0.0000], [0.0000, 0.0000, 0.5000], [0.0000, 0.5000, 0.0000], [0.5000, 0.5000, 0.5000], [0.0000, 0.0000, 0.0000]],
  "dos_ef_per_ev_fu": 2.69,
  "formation_energy_uncorrected_mev_per_atom": -1442,
  "dft_energy_ev_per_cell": -29.71
}


[7]
{
  "formula": "Ho2ScHgO",
  "functional": "PBE",
  "state": "relaxed",
  "lattice": [[4.4929, 0.0000, 0.0000], [0.0000, 4.7181, 0.0000], [0.0000, 0.0000, 4.7181]],
  "species": ["Ho", "Ho", "Sc", "Hg", "O"],
  "fractional_positions": [[0.0000, 0.0000, 0.5000], [0.0000, 0.5000, 0.0000], [0.5000, 0.0000, 0.0000], [0.5000, 0.5000, 0.5000], [0.0000, 0.0000, 0.0000]],
  "dos_ef_per_ev_fu": 2.38,
  "formation_energy_uncorrected_mev_per_atom": -1414,
  "dft_energy_ev_per_cell": -27.81
}


[8]
{
  "formula": "HoHgSe2O8",
  "functional": "PBE",
  "state": "relaxed",
  "lattice": [[5.4696, -0.1060, -0.2933], [2.4291, 4.9017, -0.2933], [-0.0800, -0.0486, 8.1697]],
  "species": ["Ho", "Hg", "Se", "Se", "O", "O", "O", "O", "O", "O", "O", "O"],
  "fractional_positions": [[0.0000, 0.0000, 0.0000], [0.0000, 0.0000, 0.5000], [0.6588, 0.6588, 0.2252], [0.3412, 0.3412, 0.7748], [0.6797, 0.2149, 0.8046], [0.7772, 0.7772, 0.0804], [0.7363, 0.7363, 0.4150], [0.2637, 0.2637, 0.5850], [0.2228, 0.2228, 0.9196], [0.2149, 0.6797, 0.8046], [0.7851, 0.3203, 0.1954], [0.3203, 0.7851, 0.1954]],
  "dos_ef_per_ev_fu": 3.83,
  "formation_energy_uncorrected_mev_per_atom": -1185,
  "dft_energy_ev_per_cell": -65.73
}